The following is a DFT calculation (GGA-PBE) of a relaxed Sb2TeIrRu crystal.

Unit cell a=5.0360 b=5.0360 c=5.3519 alpha=90.00 beta=90.00 gamma=90.00
Closest atoms and distances in Å follow each position.
Space group P4/mmm (No. 123)
Unique sites:
Sb1 0.0000 0.5000 0.0000 (multiplicity 2)  2 Ir 2.52
Te1 0.0000 0.0000 0.5000 (multiplicity 1)  2 Ir 2.68
Ir1 0.0000 0.0000 0.0000 (multiplicity 1)  4 Sb 2.52, 2 Te 2.68
Ru1 0.5000 0.5000 0.5000 (multiplicity 1)  4 Te 3.56, 8 Sb 3.67

Summary:
- Energy above the lowest structure with this stoichiometry: 99 meV/atom
- Total moment: 1.49 μB per formula unit
- Electronic total energy: -24.04 eV/f.u.
- Formation energy without anion corrections: 105.77 kJ/mol of atoms

=====

The following is a DFT calculation (GGA-PBE) of a relaxed CoAuSI2 crystal.

Unit cell a=5.5084 b=5.5084 c=4.0876 alpha=90.00 beta=90.00 gamma=90.00
Closest atoms and distances in Å follow each position.
Space group P4/mmm (No. 123)
Unique sites:
Co1 0.0000 0.0000 0.0000 (multiplicity 1)  2 S 2.04
Au1 0.5000 0.5000 0.5000 (multiplicity 1)  8 I 3.43
S1 0.0000 0.0000 0.5000 (multiplicity 1)  2 Co 2.04
I1 0.0000 0.5000 0.0000 (multiplicity 2)  2 Co 2.75

Summary:
- Total moment: 0.00 μB per formula unit
- Electronic total energy: -15.68 eV/f.u.
- Formation energy without anion corrections: 37.33 kJ/mol of atoms

=====

The following is a DFT calculation (GGA-PBE) of a relaxed La8Sm2Er3 crystal.

Unit cell a=13.6761 b=11.8597 c=6.1787 alpha=90.00 beta=113.32 gamma=90.00
Closest atoms and distances in Å follow each position.
Space group C2/m (No. 12)
Unique sites:
La1 0.0842 0.0000 0.2414 (multiplicity 4)  1 La 2.96, 1 Sm 3.31
La2 0.1378 0.5000 0.6161 (multiplicity 4)  1 Sm 3.34, 2 La 3.46-3.55, 4 Er 3.52-3.63
La3 0.1614 0.2625 0.1508 (multiplicity 8)  2 La 3.40-3.61, 2 Sm 3.47-3.79, 3 Er 3.47-3.76
Sm1 0.1864 0.0000 0.8252 (multiplicity 4)  6 La 3.31-3.56
Er1 0.0000 0.2312 0.5000 (multiplicity 4)  8 La 3.59-3.76, 2 Sm 3.74
Er2 0.0000 0.5000 0.0000 (multiplicity 2)  8 La 3.47-3.57

Summary:
- Total moment: 0.00 μB per formula unit
- Electronic total energy: -60.74 eV/f.u.
- ΔH_f (0 K): 0.139 eV per atom

=====

The following is a DFT calculation (GGA-PBE) of a relaxed Pu3BeGe3 crystal.

Unit cell a=10.7328 b=4.1873 c=13.5612 alpha=90.00 beta=107.44 gamma=90.00
Closest atoms and distances in Å follow each position.
Space group C2/m (No. 12)
Unique sites:
Pu1 0.0220 0.0000 0.3942 (multiplicity 4)  7 Ge 2.96-3.23, 1 Pu 3.04, 4 Be 3.07-3.28
Pu2 0.0989 0.0000 0.9127 (multiplicity 4)  7 Ge 3.00-3.14
Pu3 0.2487 0.5000 0.7752 (multiplicity 4)  6 Ge 2.92-3.11, 2 Be 3.15
Be1 0.2310 0.5000 0.3929 (multiplicity 4)  4 Ge 2.35-2.44
Ge1 0.0462 0.5000 0.2464 (multiplicity 4)  1 Be 2.35
Ge2 0.1131 0.5000 0.0737 (multiplicity 4)  2 Ge 2.64-2.65
Ge3 0.1639 0.5000 0.5494 (multiplicity 4)  3 Be 2.40-2.44

Summary:
- Total moment: 6.25 μB per formula unit
- Electronic total energy: -63.09 eV/f.u.
- ΔH_f (0 K): -0.359 eV per atom

=====

The following is a DFT calculation (GGA-PBE) of a relaxed NbIrC3 crystal.

Unit cell a=4.1051 b=4.1051 c=4.1051 alpha=90.00 beta=90.00 gamma=90.00
Closest atoms and distances in Å follow each position.
Space group Pm-3m (No. 221)
Unique sites:
Nb1 0.0000 0.0000 0.0000 (multiplicity 1)  6 C 2.05
Ir1 0.5000 0.5000 0.5000 (multiplicity 1)  12 C 2.90
C1 0.0000 0.0000 0.5000 (multiplicity 3)  2 Nb 2.05

Summary:
- Energy above the lowest structure with this stoichiometry: 520 meV/atom
- Total moment: 0.00 μB per formula unit
- Electronic total energy: -33.93 eV/f.u.
- ΔH_f (0 K): 2.535 eV per atom

=====

The following is a DFT calculation (GGA-PBE) of a relaxed CsMnAg2Se4 crystal.

Unit cell a=6.9467 b=6.9985 c=9.4649 alpha=90.00 beta=90.00 gamma=90.00
Closest atoms and distances in Å follow each position.
Space group I222 (No. 23)
Unique sites:
Cs1 0.0000 0.0000 0.0000 (multiplicity 2)  8 Se 3.46-3.75
Mn1 0.0000 0.0000 0.5000 (multiplicity 2)  4 Se 2.29
Ag1 0.0000 0.5000 0.2470 (multiplicity 4)  4 Se 2.71-2.74
Se1 0.1805 0.1810 0.3489 (multiplicity 8)  1 Mn 2.29

Summary:
- Total moment: 1.98 μB per formula unit
- Electronic total energy: -32.44 eV/f.u.
- Formation energy without anion corrections: -33.53 kJ/mol of atoms